This record from the Alexandria database describes a relaxed structure of TiNbCd3. The functional is GGA-PBEsol.

Results
* symmetry: Pm-3m, No. 221
* calculated total energy: -3.110 eV per atom
* formation energy from the elements: 1.437 eV per atom
* magnetization: 0.210 μB per atom
* volume: 27.878 Å³ per atom

Lattice parameters (Å, degrees): 5.185 5.185 5.185 90.00 90.00 90.00
Atoms (fractional coordinates):
1 Ti 0.000 0.000 0.000
2 Nb 0.500 0.500 0.500
3 Cd 0.000 0.500 0.500
4 Cd 0.500 0.000 0.500
5 Cd 0.500 0.500 0.000